First-principles (GGA-PBEsol) data for crystalline Ta2Al at its relaxed geometry, as listed in Alexandria via LeMat-Bulk.

Cell: 9.845 9.845 5.162 Å, 90.00 90.00 90.00°
Fractional positions:
Ta  0.036  0.371  0.000
Ta  0.102  0.102  0.000
Ta  0.129  0.536  0.500
Ta  0.182  0.818  0.248
Ta  0.182  0.818  0.752
Ta  0.318  0.318  0.252
Ta  0.318  0.318  0.748
Ta  0.371  0.036  0.000
Ta  0.398  0.602  0.500
Ta  0.464  0.871  0.500
Ta  0.536  0.129  0.500
Ta  0.602  0.398  0.500
Ta  0.629  0.964  0.000
Ta  0.682  0.682  0.252
Ta  0.682  0.682  0.748
Ta  0.818  0.182  0.248
Ta  0.818  0.182  0.752
Ta  0.871  0.464  0.500
Ta  0.898  0.898  0.000
Ta  0.964  0.629  0.000
Al  0.000  0.000  0.500
Al  0.066  0.263  0.500
Al  0.237  0.566  0.000
Al  0.263  0.066  0.500
Al  0.434  0.763  0.000
Al  0.500  0.500  0.000
Al  0.566  0.237  0.000
Al  0.737  0.934  0.500
Al  0.763  0.434  0.000
Al  0.934  0.737  0.500

Electronic total energy   -9.975 eV per atom
ΔE_f   -0.243 eV per atom
Fermi-level density of states   0.53 states/eV/atom

---

First-principles (GGA-PBEsol) data for crystalline Ta3Al at its relaxed geometry, as listed in Alexandria via LeMat-Bulk.

Cell: 5.582 5.582 5.582 Å, 151.05 64.13 124.15°
Fractional positions:
Ta  0.000  0.000  0.000
Ta  0.050  0.298  0.753
Ta  0.545  0.298  0.247
Al  0.495  0.995  0.500

Electronic total energy   -10.429 eV per atom
ΔE_f   0.007 eV per atom
Fermi-level density of states   0.81 states/eV/atom

---

First-principles (GGA-PBEsol) data for crystalline TaAl at its relaxed geometry, as listed in Alexandria via LeMat-Bulk.

Cell: 2.804 2.804 4.159 Å, 90.00 90.00 90.00°
Fractional positions:
Ta  0.000  0.000  0.000
Al  0.500  0.500  0.500

Electronic total energy   -8.543 eV per atom
ΔE_f   -0.221 eV per atom
Fermi-level density of states   0.42 states/eV/atom